14
Lattice="1.230 2.275 5.310 -3.547 -2.921 3.711 4.590 -5.461 4.031" Properties=species:S:1:pos:R:3 comment="SnMoF5 | Alexandria | PBE with a Hubbard U | optimized geometry" space_group=C2/c magmom_total_mub_per_cell=6.0 e_tot_ev_per_atom=-5.370 pbc="T T T"
Sn 2.298 -4.403 7.539
Sn -0.025 -1.704 5.514
Mo 0.000 0.000 0.000
Mo 2.295 -2.730 2.016
F 3.396 -5.282 5.726
F 0.495 -4.555 6.239
F 1.478 -2.142 3.837
F 4.312 -2.213 8.213
F 2.007 -6.529 8.138
F 0.266 0.422 4.915
F -2.039 -3.894 4.840
F 0.795 -3.965 9.216
F 1.777 -1.552 6.813
F -1.123 -0.825 7.326